VASP calculation (PBE-GGA) on Ce4Sm2Rh9 after structural relaxation.

The structure in POSCAR format:
```
Ce4Sm2Rh9
1.0
-3.592 -2.815 -0.081
4.190 -1.624 -0.800
2.015 -3.055 16.750
Rh Sm Ce
9 2 4
Direct
0.667 0.333 0.068 Rh
0.000 0.000 0.162 Rh
0.000 0.000 0.838 Rh
0.000 0.000 0.500 Rh
0.000 0.000 0.333 Rh
0.000 0.000 0.667 Rh
0.333 0.667 0.932 Rh
0.667 0.333 0.421 Rh
0.333 0.667 0.579 Rh
0.667 0.333 0.248 Sm
0.333 0.667 0.752 Sm
0.333 0.667 0.405 Ce
0.333 0.667 0.100 Ce
0.667 0.333 0.900 Ce
0.667 0.333 0.595 Ce
```

Output
Space-group type   P-3m1 (164)
Total moment   0.41 μB/f.u.
ΔE_f   -0.658 eV/atom
Energy   -0.5351 Ry per atom

VASP calculation (PBE-GGA) on Li2CaSb2Pd2 after structural relaxation.

The structure in POSCAR format:
```
Li2CaSb2Pd2
1.0
4.487 0.000 0.000
2.243 3.886 0.000
2.243 1.295 8.219
Li Pd Ca Sb
2 2 1 2
Direct
0.140 0.140 0.579 Li
0.860 0.860 0.421 Li
0.562 0.562 0.313 Pd
0.438 0.438 0.687 Pd
0.000 0.000 0.000 Ca
0.747 0.747 0.759 Sb
0.253 0.253 0.241 Sb
```

Output
Formation energy without anion corrections   -0.698 eV/atom
Space-group type   R-3m (166)
Total moment   0.00 μB/f.u.
Energy   -0.3081 Ry per atom